No. 1
MnBi | PBE-GGA | optimized geometry

Cell and atoms, written as POSCAR:
```
MnBi
1.0
-0.740 2.437 3.487
-1.217 -4.142 -0.037
5.141 -1.530 2.160
Mn Bi
2 2
direct
0.000 0.000 0.500 Mn
0.000 0.000 0.000 Mn
0.333 0.667 0.250 Bi
0.667 0.333 0.750 Bi
```

**ΔE_f**: 208.8 meV per atom
**Density of states at the Fermi level**: 0.506 states/eV per atom
**Total magnetization**: 7.1 μB/cell


No. 2
YTm6Pd3 | PBE-GGA | optimized geometry

Cell and atoms, written as POSCAR:
```
YTm6Pd3
1.0
7.205 0.000 0.000
0.000 8.499 -1.187
0.000 -0.137 8.580
Tm Pd Y
12 6 2
direct
0.168 0.372 0.293 Tm
0.320 0.581 0.963 Tm
0.018 0.771 0.229 Tm
0.518 0.229 0.771 Tm
0.320 0.037 0.419 Tm
0.165 0.032 0.968 Tm
0.668 0.293 0.372 Tm
0.168 0.707 0.628 Tm
0.820 0.963 0.581 Tm
0.820 0.419 0.037 Tm
0.665 0.968 0.032 Tm
0.668 0.628 0.707 Tm
0.376 0.422 0.578 Pd
0.456 0.912 0.704 Pd
0.456 0.296 0.088 Pd
0.956 0.704 0.912 Pd
0.876 0.578 0.422 Pd
0.956 0.088 0.296 Pd
0.040 0.315 0.685 Y
0.540 0.685 0.315 Y
```

**ΔE_f**: -529.7 meV per atom
**Density of states at the Fermi level**: 1.061 states/eV per atom
**Total magnetization**: 0.0 μB/cell


No. 3
Cu4SbPd | PBE-GGA | optimized geometry

Cell and atoms, written as POSCAR:
```
Cu4SbPd
1.0
4.953 0.000 0.000
2.477 4.290 0.000
2.477 1.430 4.044
Cu Sb Pd
4 1 1
direct
0.626 0.123 0.626 Cu
0.626 0.626 0.626 Cu
0.626 0.626 0.123 Cu
0.123 0.626 0.626 Cu
0.250 0.250 0.250 Sb
0.000 0.000 0.000 Pd
```

**Uncorrected formation energy**: -0.28 eV per formula unit
**Density of states at the Fermi level**: 0.277 states/eV per atom
**Total magnetization**: 0.0 μB/cell


No. 4
TlIrRh2 | PBE-GGA | optimized geometry

Cell and atoms, written as POSCAR:
```
TlIrRh2
1.0
-3.948 -0.743 -0.559
0.907 -3.611 -1.608
-0.196 -1.633 3.557
Rh Tl Ir
2 1 1
direct
0.000 0.500 0.000 Rh
0.500 0.000 0.000 Rh
0.500 0.500 0.500 Tl
0.000 0.000 0.500 Ir
```

**ΔE_f**: 296.9 meV per atom
**Relative energy among the computed polymorphs**: 98 meV per atom
**Density of states at the Fermi level**: 1.327 states/eV per atom
**Total magnetization**: 0.0 μB/cell


No. 5
BaNiI2N | PBE-GGA | optimized geometry

Cell and atoms, written as POSCAR:
```
BaNiI2N
1.0
6.556 0.000 0.000
0.000 6.556 0.000
0.000 0.000 5.361
Ba N Ni I
1 1 1 2
direct
0.000 0.000 0.000 Ba
0.000 0.000 0.500 N
0.500 0.500 0.500 Ni
0.500 0.000 0.000 I
0.000 0.500 0.000 I
```

**Relative energy among the computed polymorphs**: 1059 meV per atom
**Uncorrected formation energy**: 4.17 eV per formula unit
**Density of states at the Fermi level**: 1.811 states/eV per atom
**Total magnetization**: 3.7 μB/cell


No. 6
MnTe2Pt | PBE-GGA | optimized geometry

Cell and atoms, written as POSCAR:
```
MnTe2Pt
1.0
0.000 3.442 3.442
3.442 0.000 3.442
3.442 3.442 0.000
Te Mn Pt
2 1 1
direct
0.250 0.250 0.250 Te
0.750 0.750 0.750 Te
0.000 0.000 0.000 Mn
0.500 0.500 0.500 Pt
```

**Relative energy among the computed polymorphs**: 460 meV per atom
**Uncorrected formation energy**: 0.89 eV per formula unit
**Density of states at the Fermi level**: 0.773 states/eV per atom
**Total magnetization**: 3.2 μB/cell


No. 7
Ca10P6SO24 | PBE-GGA | optimized geometry

Cell and atoms, written as POSCAR:
```
Ca10P6SO24
1.0
9.568 0.000 0.000
-4.784 8.286 0.000
0.000 0.000 6.878
Ca O S P
10 24 1 6
direct
0.256 0.248 0.244 Ca
0.667 0.333 0.479 Ca
0.333 0.667 0.521 Ca
0.992 0.744 0.244 Ca
0.248 0.992 0.756 Ca
0.744 0.752 0.756 Ca
0.667 0.333 0.987 Ca
0.008 0.256 0.756 Ca
0.752 0.008 0.244 Ca
0.333 0.667 0.013 Ca
0.115 0.583 0.301 O
0.468 0.885 0.301 O
0.714 0.100 0.944 O
0.237 0.932 0.408 O
0.532 0.115 0.699 O
0.517 0.842 0.757 O
0.158 0.674 0.757 O
0.305 0.237 0.592 O
0.417 0.532 0.301 O
0.842 0.326 0.243 O
0.695 0.763 0.408 O
0.286 0.900 0.056 O
0.100 0.386 0.056 O
0.763 0.068 0.592 O
0.674 0.517 0.243 O
0.386 0.286 0.944 O
0.932 0.695 0.592 O
0.900 0.614 0.944 O
0.483 0.158 0.243 O
0.885 0.417 0.699 O
0.068 0.305 0.408 O
0.326 0.483 0.757 O
0.583 0.468 0.699 O
0.614 0.714 0.056 O
0.000 0.000 0.000 S
0.972 0.602 0.747 P
0.629 0.028 0.747 P
0.398 0.371 0.747 P
0.028 0.398 0.253 P
0.602 0.629 0.253 P
0.371 0.972 0.253 P
```

**Relative energy among the computed polymorphs**: 0 meV per atom
**Uncorrected formation energy**: -117.63 eV per formula unit
**Density of states at the Fermi level**: 0.000 states/eV per atom
**Total magnetization**: 0.1 μB/cell